Record 1
First-principles (PBE) data for a relaxed LaTiSe3 crystal, as listed in Alexandria via LeMat-Bulk.

```
data_LaTiSe3
_cell_length_a 4.950
_cell_length_b 4.950
_cell_length_c 4.950
_cell_angle_alpha 90.00
_cell_angle_beta 90.00
_cell_angle_gamma 90.00
_space_group_name_H-M_alt 'P m -3 m'
_space_group_IT_number 221
_space_group_name_Hall '-P 4 2 3'
loop_
_atom_site_label
_atom_site_type_symbol
_atom_site_fract_x
_atom_site_fract_y
_atom_site_fract_z
_atom_site_occupancy
La1 La 0.000 0.000 0.000 1
Ti1 Ti 0.500 0.500 0.500 1
Se1 Se 0.000 0.500 0.500 1
```

Properties
* ΔE to the lowest computed polymorph: 1.32 eV/f.u.
* M_tot: 0.00 μB per formula unit
* ΔE_f (raw): -6.6 eV/f.u.

=====

Record 2
First-principles (PBE) data for a relaxed Pm2In8Ru crystal, as listed in Alexandria via LeMat-Bulk.

```
data_Pm2In8Ru
_cell_length_a 4.668
_cell_length_b 4.668
_cell_length_c 12.400
_cell_angle_alpha 90.00
_cell_angle_beta 90.00
_cell_angle_gamma 90.00
_space_group_name_H-M_alt 'P 4/m m m'
_space_group_IT_number 123
_space_group_name_Hall '-P 4 2'
loop_
_atom_site_label
_atom_site_type_symbol
_atom_site_fract_x
_atom_site_fract_y
_atom_site_fract_z
_atom_site_occupancy
Pm1 Pm 0.000 0.000 0.192 1
In1 In 0.000 0.500 0.000 1
In2 In 0.000 0.500 0.380 1
In3 In 0.500 0.500 0.191 1
Ru1 Ru 0.000 0.000 0.500 1
```

Properties
* M_tot: 0.00 μB per formula unit
* energy of formation from the pure elements: -0.37 eV per atom

=====

What is the M_tot in the first record? 0.00 μB per formula unit

=====

M_tot of number 2 (Pm2In8Ru)? 0.00 μB per formula unit

=====

Repeat the second record exactly.
First-principles (PBE) data for a relaxed Pm2In8Ru crystal, as listed in Alexandria via LeMat-Bulk.

```
data_Pm2In8Ru
_cell_length_a 4.668
_cell_length_b 4.668
_cell_length_c 12.400
_cell_angle_alpha 90.00
_cell_angle_beta 90.00
_cell_angle_gamma 90.00
_space_group_name_H-M_alt 'P 4/m m m'
_space_group_IT_number 123
_space_group_name_Hall '-P 4 2'
loop_
_atom_site_label
_atom_site_type_symbol
_atom_site_fract_x
_atom_site_fract_y
_atom_site_fract_z
_atom_site_occupancy
Pm1 Pm 0.000 0.000 0.192 1
In1 In 0.000 0.500 0.000 1
In2 In 0.000 0.500 0.380 1
In3 In 0.500 0.500 0.191 1
Ru1 Ru 0.000 0.000 0.500 1
```

Properties
* M_tot: 0.00 μB per formula unit
* energy of formation from the pure elements: -0.37 eV per atom